Entry 1:
This record from the Alexandria database describes a relaxed structure of Sm3BiO. The functional is GGA-PBE.

a = 4.9387 Å, b = 4.9387 Å, c = 4.9387 Å
α = 90.00°, β = 90.00°, γ = 90.00°
Space group Pm-3m (No. 221)
Unique sites:
Sm (0.0000, 0.0000, 0.5000)
Bi (0.5000, 0.5000, 0.5000)
O (0.0000, 0.0000, 0.0000)

Raw total energy (eV/atom): -5.972

Entry 2:
This record from the Alexandria database describes a relaxed structure of Na2AgHg2. The functional is GGA-PBE.

a = 7.9790 Å, b = 7.9790 Å, c = 4.1361 Å
α = 90.00°, β = 90.00°, γ = 90.00°
Space group P4/mbm (No. 127)
Unique sites:
Na (0.1525, 0.3475, 0.0000)
Ag (0.0000, 0.0000, 0.0000)
Hg (0.1480, 0.6480, 0.5000)

Offset from the most stable computed form (meV per atom): 137
ΔH_f (0 K) (eV per atom): -0.01

Entry 3:
This record from the Alexandria database describes a relaxed structure of HfMgTe2I. The functional is GGA-PBE.

a = 5.4528 Å, b = 5.4528 Å, c = 5.2740 Å
α = 90.00°, β = 90.00°, γ = 90.00°
Space group P4/mmm (No. 123)
Unique sites:
Hf (0.0000, 0.0000, 0.0000)
Mg (0.5000, 0.5000, 0.5000)
Te (0.0000, 0.5000, 0.5000)
I (0.5000, 0.5000, 0.0000)

Offset from the most stable computed form (meV per atom): 589

Entry 4:
This record from the Alexandria database describes a relaxed structure of TaPt2Au. The functional is GGA-PBE.

a = 6.4524 Å, b = 6.4524 Å, c = 6.4524 Å
α = 90.00°, β = 90.00°, γ = 90.00°
Space group Fm-3m (No. 225)
Unique sites:
Ta (0.0000, 0.0000, 0.0000)
Pt (0.2500, 0.2500, 0.2500)
Au (0.0000, 0.0000, 0.5000)

Offset from the most stable computed form (meV per atom): 131
ΔH_f (0 K) (eV per atom): -0.35

Entry 5:
This record from the Alexandria database describes a relaxed structure of Cu4TcSb. The functional is GGA-PBE.

a = 6.9667 Å, b = 6.9667 Å, c = 6.9667 Å
α = 90.00°, β = 90.00°, γ = 90.00°
Space group F-43m (No. 216)
Unique sites:
Cu (0.1244, 0.1244, 0.1244)
Tc (0.2500, 0.2500, 0.7500)
Sb (0.0000, 0.0000, 0.5000)

Raw total energy (eV/atom): -4.845

Entry 6:
This record from the Alexandria database describes a relaxed structure of Tb5Pm6Nd. The functional is GGA-PBE.

a = 6.2689 Å, b = 10.8560 Å, c = 11.9577 Å
α = 90.00°, β = 100.06°, γ = 90.00°
Space group C2/m (No. 12)
Unique sites:
Tb (0.0000, 0.0000, 0.0000)
Tb (0.0000, 0.1666, 0.5000)
Tb (0.0000, 0.3331, 0.0000)
Pm (0.2494, 0.0000, 0.7512)
Pm (0.2497, 0.1670, 0.2488)
Nd (0.0000, 0.5000, 0.5000)

Offset from the most stable computed form (meV per atom): 0
ΔH_f (0 K) (eV per atom): 0.01